(1)
Compound: Li2ZrAl
Source: the Alexandria database
Functional: GGA-PBE
Structure: relaxed

abc: 2.9991 2.9991 8.4401
angles: 90.00 90.00 90.00
Closest atoms and distances in Å follow each position.
Fractional coordinates of all 4 atoms:
Li (0.0000, 0.0000, 0.0000)  4 Al 2.77, 8 Li 2.98-3.00
Li (0.5000, 0.5000, 0.2488)  8 Li 2.98-3.00, 4 Zr 3.31
Zr (0.0000, 0.0000, 0.5506)  4 Al 2.93, 4 Zr 3.00
Al (0.5000, 0.5000, 0.7896)  4 Li 2.77, 4 Zr 2.93, 4 Al 3.00

Output
- Formation energy from the elements: -0.082 eV/atom



(2)
Compound: VGaBiPt2
Source: the Alexandria database
Functional: GGA-PBE
Structure: relaxed

abc: 5.0886 5.0886 5.2134
angles: 90.00 90.00 90.00
Closest atoms and distances in Å follow each position.
Fractional coordinates of all 5 atoms:
V (0.0000, 0.0000, 0.0000)  4 Ga 3.60, 8 Pt 3.64
Ga (0.5000, 0.5000, 0.0000)  2 Bi 2.61
Bi (0.5000, 0.5000, 0.5000)  4 Pt 2.54, 2 Ga 2.61
Pt (0.0000, 0.5000, 0.5000)  2 Bi 2.54
Pt (0.5000, 0.0000, 0.5000)  2 Bi 2.54

Output
- Formation energy from the elements: 1.447 eV/atom



(3)
Compound: Nb2AuI8
Source: the Alexandria database
Functional: GGA-PBE
Structure: relaxed

abc: 8.7992 8.7992 7.9121
angles: 93.68 93.68 72.16
Closest atoms and distances in Å follow each position.
Fractional coordinates of all 11 atoms:
Nb (0.2102, 0.2102, 0.1624)  4 I 2.63-2.64
Nb (0.7898, 0.7898, 0.8376)  4 I 2.63-2.64
Au (0.0000, 0.0000, 0.5000)  6 I 3.06-3.43
I (0.0657, 0.6927, 0.6905)  1 Nb 2.64
I (0.1702, 0.1702, 0.8320)  1 Nb 2.63
I (0.3073, 0.9343, 0.3095)  1 Nb 2.64
I (0.3927, 0.3927, 0.2551)  1 Nb 2.64
I (0.6073, 0.6073, 0.7449)  1 Nb 2.64
I (0.6927, 0.0657, 0.6905)  1 Nb 2.64
I (0.8298, 0.8298, 0.1680)  1 Nb 2.63
I (0.9343, 0.3073, 0.3095)  1 Nb 2.64

Output
- E: -37.992 eV for the cell shown



(4)
Compound: MnIn2Re
Source: the Alexandria database
Functional: GGA-PBE
Structure: relaxed

abc: 2.8570 4.2197 5.8722
angles: 90.00 90.00 90.00
Closest atoms and distances in Å follow each position.
Fractional coordinates of all 4 atoms:
Mn (0.0000, 0.0000, 0.0000)  2 Mn 2.86, 2 Re 2.94, 8 In 2.95
In (0.5000, 0.5000, 0.2517)  4 In 2.86-2.96, 4 Re 2.94, 4 Mn 2.95
In (0.5000, 0.5000, 0.7483)  4 In 2.86-2.96, 4 Re 2.94, 4 Mn 2.95
Re (0.0000, 0.0000, 0.5000)  2 Re 2.86, 8 In 2.94, 2 Mn 2.94

Output
- Formation energy from the elements: 0.489 eV/atom



(5)
Compound: SmCr2GeC
Source: the Alexandria database
Functional: GGA-PBE
Structure: relaxed

abc: 6.2316 6.2316 5.3783
angles: 90.00 90.00 129.66
Closest atoms and distances in Å follow each position.
Fractional coordinates of all 10 atoms:
Sm (0.2489, 0.7511, 0.7500)  4 Ge 2.96-2.98
Sm (0.7511, 0.2489, 0.2500)  4 Ge 2.96-2.98
Cr (0.2667, 0.2667, 0.0000)  2 C 1.94
Cr (0.2667, 0.2667, 0.5000)  2 C 1.94
Cr (0.7333, 0.7333, 0.0000)  2 C 1.94
Cr (0.7333, 0.7333, 0.5000)  2 C 1.94
Ge (0.1347, 0.8653, 0.2500)  4 Cr 2.47
Ge (0.8653, 0.1347, 0.7500)  4 Cr 2.47
C (0.4435, 0.5565, 0.2500)  4 Cr 1.94
C (0.5565, 0.4435, 0.7500)  4 Cr 1.94

Output
- Formation energy from the elements: -0.142 eV/atom



(6)
Compound: Na2PmTlF8
Source: the Alexandria database
Functional: GGA-PBE
Structure: relaxed

abc: 3.8823 5.6038 7.7779
angles: 90.00 90.00 90.00
Closest atoms and distances in Å follow each position.
Fractional coordinates of all 12 atoms:
Na (0.0000, 0.0000, 0.2420)  8 F 2.41-2.49
Na (0.0000, 0.0000, 0.7580)  8 F 2.41-2.49
Pm (0.5000, 0.5000, 0.5000)  8 F 2.35-2.38
Tl (0.5000, 0.5000, 0.0000)  8 F 2.31-2.34
F (0.0000, 0.2622, 0.5000)  2 Pm 2.35, 2 Na 2.49
F (0.0000, 0.2682, 0.0000)  2 Tl 2.34, 2 Na 2.41, 1 F 2.60
F (0.0000, 0.7318, 0.0000)  2 Tl 2.34, 2 Na 2.41, 1 F 2.60
F (0.0000, 0.7378, 0.5000)  2 Pm 2.35, 2 Na 2.49
F (0.5000, 0.2663, 0.2451)  1 Tl 2.31, 1 Pm 2.38, 2 Na 2.45
F (0.5000, 0.2663, 0.7549)  1 Tl 2.31, 1 Pm 2.38, 2 Na 2.45
F (0.5000, 0.7337, 0.2451)  1 Tl 2.31, 1 Pm 2.38, 2 Na 2.45
F (0.5000, 0.7337, 0.7549)  1 Tl 2.31, 1 Pm 2.38, 2 Na 2.45

Output
- E: -59.793 eV for the cell shown



(7)
Compound: Y3In
Source: the Alexandria database
Functional: GGA-PBE
Structure: relaxed

abc: 6.4302 6.4302 6.4302
angles: 116.95 116.95 116.95
Closest atoms and distances in Å follow each position.
Fractional coordinates of all 4 atoms:
Y (0.0000, 0.5000, 0.5000)  6 Y 3.36-3.41, 2 In 3.36
Y (0.5000, 0.0000, 0.5000)  2 In 3.36, 6 Y 3.36-3.41
Y (0.5000, 0.5000, 0.0000)  6 Y 3.36-3.41, 2 In 3.36
In (0.0000, 0.0000, 0.0000)  6 Y 3.36, 2 In 3.41

Output
- Formation energy from the elements: -0.134 eV/atom



(8)
Compound: NdSm2ScSe6
Source: the Alexandria database
Functional: GGA-PBE
Structure: relaxed

abc: 7.7183 7.7183 7.7183
angles: 56.18 56.18 56.18
Closest atoms and distances in Å follow each position.
Fractional coordinates of all 10 atoms:
Nd (0.0000, 0.0000, 0.0000)  6 Se 2.91-3.01
Sm (0.2958, 0.2958, 0.2958)  6 Se 2.92-2.97
Sm (0.8004, 0.8004, 0.8004)  6 Se 2.89-2.98
Sc (0.4942, 0.4942, 0.4942)  6 Se 2.74-2.76
Se (0.1129, 0.6962, 0.4000)  1 Sc 2.76, 2 Sm 2.89-2.97, 1 Nd 2.91
Se (0.2261, 0.5997, 0.8715)  1 Sc 2.74, 2 Sm 2.92-2.98, 1 Nd 3.01
Se (0.4000, 0.1129, 0.6962)  1 Sc 2.76, 2 Sm 2.89-2.97, 1 Nd 2.91
Se (0.5997, 0.8715, 0.2261)  1 Sc 2.74, 2 Sm 2.92-2.98, 1 Nd 3.01
Se (0.6961, 0.4000, 0.1129)  1 Sc 2.76, 2 Sm 2.89-2.97, 1 Nd 2.91
Se (0.8715, 0.2261, 0.5997)  1 Sc 2.74, 2 Sm 2.92-2.98, 1 Nd 3.01

Output
- E: -59.264 eV for the cell shown



(9)
Compound: NpBH4
Source: the Alexandria database
Functional: GGA-PBE
Structure: relaxed

abc: 5.5506 5.5506 4.4191
angles: 90.00 90.00 138.58
Closest atoms and distances in Å follow each position.
Fractional coordinates of all 12 atoms:
Np (0.1217, 0.8783, 0.7500)  11 H 2.16-2.37
Np (0.8783, 0.1217, 0.2500)  11 H 2.16-2.37
B (0.3957, 0.6043, 0.7500)  3 H 1.24-1.28
B (0.6043, 0.3957, 0.2500)  3 H 1.24-1.28
H (0.0863, 0.9137, 0.2500)  2 B 1.97, 1 Np 2.16
H (0.3261, 0.6739, 0.5107)  1 B 1.28
H (0.3261, 0.6739, 0.9893)  1 B 1.28
H (0.4853, 0.5147, 0.2500)  1 B 1.24
H (0.5147, 0.4853, 0.7500)  1 B 1.24
H (0.6739, 0.3261, 0.0107)  1 B 1.28
H (0.6739, 0.3261, 0.4893)  1 B 1.28
H (0.9137, 0.0863, 0.7500)  2 B 1.97, 1 Np 2.16

Output
- E: -64.758 eV for the cell shown



(10)
Compound: Ho2ZrPaC4
Source: the Alexandria database
Functional: GGA-PBE
Structure: relaxed

abc: 6.1057 3.5154 6.1204
angles: 90.00 109.87 90.00
Closest atoms and distances in Å follow each position.
Fractional coordinates of all 8 atoms:
Ho (0.0000, 0.0000, 0.0000)  6 C 2.55-2.59
Ho (0.0000, 0.5000, 0.5000)  6 C 2.55
Zr (0.5000, 0.0000, 0.5000)  6 C 2.41-2.42
Pa (0.5000, 0.5000, 0.0000)  6 C 2.42-2.46
C (0.2676, 0.5000, 0.2588)  2 Zr 2.42, 1 Pa 2.46, 3 Ho 2.55
C (0.2728, 0.0000, 0.7546)  1 Zr 2.41, 2 Pa 2.42, 3 Ho 2.55-2.59
C (0.7272, 0.0000, 0.2454)  1 Zr 2.41, 2 Pa 2.42, 3 Ho 2.55-2.59
C (0.7324, 0.5000, 0.7412)  2 Zr 2.42, 1 Pa 2.46, 3 Ho 2.55

Output
- Formation energy from the elements: -0.413 eV/atom



(11)
Compound: MgTaHg2
Source: the Alexandria database
Functional: GGA-PBE
Structure: relaxed

abc: 6.1421 6.1421 6.1421
angles: 104.68 104.68 119.54
Closest atoms and distances in Å follow each position.
Fractional coordinates of all 8 atoms:
Mg (0.0000, 0.0000, 0.0000)  4 Hg 2.74
Mg (0.7500, 0.2500, 0.5000)  4 Hg 2.74
Ta (0.2500, 0.7500, 0.5000)  4 Hg 2.79, 2 Mg 3.09
Ta (0.5000, 0.5000, 0.0000)  4 Hg 2.79, 2 Mg 3.09
Hg (0.1196, 0.6250, 0.9946)  2 Mg 2.74, 2 Ta 2.79
Hg (0.3750, 0.3696, 0.4946)  2 Mg 2.74, 2 Ta 2.79
Hg (0.6304, 0.1250, 0.0054)  2 Mg 2.74, 2 Ta 2.79
Hg (0.8750, 0.8804, 0.5054)  2 Mg 2.74, 2 Ta 2.79

Output
- Formation energy from the elements: 0.574 eV/atom



(12)
Compound: Tb4Tc
Source: the Alexandria database
Functional: GGA-PBE
Structure: relaxed

abc: 5.3903 5.3903 5.3903
angles: 90.00 90.00 90.00
Closest atoms and distances in Å follow each position.
Fractional coordinates of all 5 atoms:
Tb (0.0000, 0.0000, 0.0000)  12 Tb 3.81
Tb (0.0000, 0.5000, 0.5000)  2 Tc 2.70
Tb (0.5000, 0.0000, 0.5000)  2 Tc 2.70
Tb (0.5000, 0.5000, 0.0000)  2 Tc 2.70
Tc (0.5000, 0.5000, 0.5000)  6 Tb 2.70

Output
- Formation energy from the elements: 0.159 eV/atom



Number 1: Fermi-level density of states 0.98 states/eV/atom. Number 2: Fermi-level density of states 1.55 states/eV/atom. Number 3: Fermi-level density of states 0.71 states/eV/atom. Number 4: Fermi-level density of states 0.63 states/eV/atom. Number 5: Fermi-level density of states 0.94 states/eV/atom. Number 6: Fermi-level density of states 0.00 states/eV/atom. Number 7: Fermi-level density of states 1.21 states/eV/atom. Number 8: Fermi-level density of states 0.00 states/eV/atom. Number 9: Fermi-level density of states 1.24 states/eV/atom. Number 10: Fermi-level density of states 0.84 states/eV/atom. Number 11: Fermi-level density of states 1.46 states/eV/atom. Number 12: Fermi-level density of states 1.68 states/eV/atom.